(1)
A plane-wave DFT calculation with GGA-PBE was carried out for an optimized crystal structure of AcGe4Pt2.

The structure in POSCAR format:
```
AcGe4Pt2
1.0
18.0515 0.0000 0.0000
0.0000 4.4491 0.0000
0.0000 0.0000 6.9935
Ac Ge Pt
4 16 8
Cartesian
2.5839 1.1123 0.0930 Ac
6.4419 3.3368 3.5897 Ac
11.6096 1.1123 3.4037 Ac
15.4676 3.3368 6.9005 Ac
0.6182 3.3368 5.9788 Ge
1.1299 1.1123 3.2937 Ge
3.1804 3.3368 2.3097 Ge
3.5027 3.3368 5.0747 Ge
5.5231 1.1123 1.5780 Ge
5.8454 1.1123 5.8065 Ge
7.8959 3.3368 6.7904 Ge
8.4075 1.1123 2.4820 Ge
9.6440 3.3368 4.5114 Ge
10.1556 1.1123 0.2031 Ge
12.2061 3.3368 1.1870 Ge
12.5284 3.3368 5.4155 Ge
14.5488 1.1123 1.9188 Ge
14.8711 1.1123 4.6837 Ge
16.9216 3.3368 3.6998 Ge
17.4333 1.1123 1.0147 Ge
0.4866 3.3368 1.6940 Pt
3.7216 1.1123 3.7040 Pt
5.3042 3.3368 0.2072 Pt
8.5392 1.1123 5.1907 Pt
9.5123 3.3368 1.8028 Pt
12.7473 1.1123 6.7862 Pt
14.3299 3.3368 3.2895 Pt
17.5649 1.1123 5.2995 Pt
```

Output
Formation energy from the elements = -0.61 eV/atom
N(E_F) = 0.35 states/eV/atom
Total magnetic moment = 0.00 μB per formula unit


(2)
A plane-wave DFT calculation with GGA-PBE was carried out for an optimized crystal structure of Cu12PdAu6.

The structure in POSCAR format:
```
Cu12PdAu6
1.0
5.6890 3.2846 2.6866
-5.6890 3.2846 2.6866
0.0000 -6.5691 2.6866
Cu Pd Au
12 1 6
Cartesian
-2.2262 -2.7133 2.6866 Cu
-3.4629 -0.5713 2.6866 Cu
0.0000 -1.5356 1.9777 Cu
-1.3299 0.7678 1.9777 Cu
2.2262 -2.7133 2.6866 Cu
-1.2367 3.2846 2.6866 Cu
1.3299 0.7678 1.9777 Cu
-1.3299 -0.7678 6.0821 Cu
3.4629 -0.5713 2.6866 Cu
1.2367 3.2846 2.6866 Cu
1.3299 -0.7678 6.0820 Cu
0.0000 1.5356 6.0820 Cu
0.0000 0.0000 4.0299 Pd
0.0000 -3.9617 3.2021 Au
-3.4309 1.9808 3.2021 Au
-3.4309 -1.9808 4.8576 Au
3.4309 1.9808 3.2021 Au
3.4309 -1.9808 4.8576 Au
0.0000 3.9617 4.8576 Au
```

Output
Formation energy from the elements = 0.17 eV/atom
N(E_F) = 0.36 states/eV/atom
Total magnetic moment = 0.00 μB per formula unit


(3)
A plane-wave DFT calculation with GGA-PBE was carried out for an optimized crystal structure of MgMnAs.

The structure in POSCAR format:
```
MgMnAs
1.0
3.1894 0.0000 0.0000
-1.5947 2.7621 0.0000
0.0000 0.0000 5.9819
Mg Mn As
1 1 1
Cartesian
0.0000 0.0000 0.0000 Mg
1.5947 0.9207 2.1593 Mn
0.0000 1.8414 3.6705 As
```

Output
Formation energy from the elements = 0.05 eV/atom
N(E_F) = 0.69 states/eV/atom
Total magnetic moment = 2.00 μB per formula unit


(4)
A plane-wave DFT calculation with GGA-PBE was carried out for an optimized crystal structure of TaHgSeO5.

The structure in POSCAR format:
```
TaHgSeO5
1.0
3.9309 -5.5690 0.0000
3.9309 5.5690 0.0000
-2.1768 0.0000 5.3824
Ta Hg Se O
2 2 2 10
Cartesian
1.9654 2.7845 0.0000 Ta
0.8771 -2.7845 2.6912 Ta
2.2983 4.7016 4.0368 Hg
3.3867 -4.7016 1.3456 Hg
2.2983 0.6532 4.0368 Se
3.3867 -0.6532 1.3456 Se
1.3747 0.9971 0.6472 O
0.9897 1.8065 4.0139 O
3.3867 2.7379 1.3456 O
0.2863 -0.9971 3.3384 O
2.0781 -1.8065 1.3227 O
3.6069 1.8065 4.0597 O
5.3987 0.9971 2.0440 O
2.2983 -2.7379 4.0368 O
4.6953 -1.8065 1.3685 O
4.3103 -0.9971 4.7352 O
```

Output
N(E_F) = 0.17 states/eV/atom
Total magnetic moment = 0.00 μB per formula unit
Energy relative to the elements, uncorrected = -1420 meV/atom


(5)
A plane-wave DFT calculation with GGA-PBE was carried out for an optimized crystal structure of BaHgO2.

The structure in POSCAR format:
```
BaHgO2
1.0
-1.7348 1.7348 6.1263
1.7348 -1.7348 6.1263
1.7348 1.7348 -6.1263
Ba Hg O
1 1 2
Cartesian
0.0000 0.0000 0.0000 Ba
1.7348 0.0000 3.0631 Hg
0.0000 0.0000 4.6595 O
0.0000 0.0000 7.5930 O
```

Output
Total magnetic moment = 0.00 μB per formula unit
Energy relative to the elements, uncorrected = -1281 meV/atom


(6)
A plane-wave DFT calculation with GGA-PBE was carried out for an optimized crystal structure of Pm8BeS3I4.

The structure in POSCAR format:
```
Pm8BeS3I4
1.0
4.1441 2.3926 7.6546
-4.1441 2.3926 7.6546
0.0000 -4.7852 7.6546
Pm Be S I
8 1 3 4
Cartesian
0.0000 0.0000 5.2246 Pm
-2.0318 -1.1730 12.9135 Pm
0.0000 -2.3461 10.0504 Pm
-2.0318 1.1730 10.0504 Pm
2.0318 -1.1730 12.9135 Pm
0.0000 2.3461 12.9135 Pm
2.0318 1.1730 10.0504 Pm
0.0000 0.0000 17.7393 Pm
0.0000 0.0000 11.4819 Be
-4.1441 0.0000 11.4819 S
-2.0721 1.1963 3.8273 S
2.0721 1.1963 3.8273 S
0.0000 0.0000 0.0000 I
-2.0721 -1.1963 7.6546 I
-2.0721 1.1963 15.3093 I
0.0000 2.3926 7.6546 I
```

Output
N(E_F) = 0.54 states/eV/atom
Total magnetic moment = 0.00 μB per formula unit
Energy relative to the elements, uncorrected = -1225 meV/atom


(7)
A plane-wave DFT calculation with GGA-PBE was carried out for an optimized crystal structure of Cs2DyAsSe4.

The structure in POSCAR format:
```
Cs2DyAsSe4
1.0
0.0000 7.5321 13.1662
3.4347 0.0000 13.1662
3.4347 7.5321 0.0000
Cs Dy As Se
4 2 2 8
Cartesian
2.5761 5.6491 1.4569 Cs
4.2934 9.4152 8.0400 Cs
2.5761 5.6491 18.2923 Cs
4.2934 9.4152 24.8754 Cs
0.8587 1.8830 3.2915 Dy
6.0108 13.1812 23.0408 Dy
2.5761 5.6491 9.8746 As
4.2934 9.4152 16.4577 As
2.6400 3.3743 4.6715 Se
4.2295 7.1404 11.2546 Se
2.5121 7.9239 4.6715 Se
2.5121 3.3743 15.0777 Se
4.3574 11.6900 11.2546 Se
4.3574 7.1404 21.6608 Se
2.6400 7.9239 15.0777 Se
4.2295 11.6900 21.6608 Se
```

Output
N(E_F) = 0.00 states/eV/atom
Total magnetic moment = 0.00 μB per formula unit
Energy relative to the elements, uncorrected = -1034 meV/atom


(8)
A plane-wave DFT calculation with GGA-PBE was carried out for an optimized crystal structure of Y3Ho2Sc8.

The structure in POSCAR format:
```
Y3Ho2Sc8
1.0
9.8841 -3.5928 0.0000
9.8841 3.5928 0.0000
-0.0020 0.0000 5.2397
Y Ho Sc
3 2 8
Cartesian
0.0000 0.0000 0.0000 Y
9.8831 1.5338 2.6199 Y
9.8831 -1.5338 2.6199 Y
4.7431 0.0000 5.2361 Ho
15.0232 0.0000 0.0037 Ho
2.6090 0.0000 2.6187 Sc
7.6894 1.4967 5.2383 Sc
6.6165 0.0000 2.6168 Sc
12.0769 1.4967 0.0014 Sc
7.6894 -1.4967 5.2383 Sc
13.1498 0.0000 2.6230 Sc
12.0769 -1.4967 0.0014 Sc
17.1573 0.0000 2.6210 Sc
```

Output
Formation energy from the elements = 0.30 eV/atom
N(E_F) = 2.12 states/eV/atom
Total magnetic moment = 0.00 μB per formula unit


(9)
A plane-wave DFT calculation with GGA-PBE was carried out for an optimized crystal structure of NbVCrOs.

The structure in POSCAR format:
```
NbVCrOs
1.0
0.0000 3.0699 3.0699
3.0699 0.0000 3.0699
3.0699 3.0699 0.0000
Nb V Cr Os
1 1 1 1
Cartesian
0.0000 0.0000 0.0000 Nb
3.0699 3.0699 3.0699 V
1.5349 1.5349 1.5349 Cr
4.6048 4.6048 4.6048 Os
```

Output
Formation energy from the elements = -0.19 eV/atom
N(E_F) = 0.80 states/eV/atom
Total magnetic moment = 0.00 μB per formula unit


(10)
A plane-wave DFT calculation with GGA-PBE was carried out for an optimized crystal structure of HfGa2Pd.

The structure in POSCAR format:
```
HfGa2Pd
1.0
7.9034 0.0000 0.0000
0.0000 6.1870 0.0000
0.0000 0.0000 5.6163
Hf Ga Pd
4 8 4
Cartesian
0.1135 1.5467 0.9223 Hf
3.8382 4.6402 3.7305 Hf
4.0652 1.5467 1.8858 Hf
7.7899 4.6402 4.6940 Hf
1.7229 0.2210 3.1976 Ga
1.7229 2.8725 3.1976 Ga
2.2288 3.3145 0.3894 Ga
2.2288 5.9660 0.3894 Ga
5.6746 0.2210 5.2269 Ga
5.6746 2.8725 5.2269 Ga
6.1806 3.3145 2.4188 Ga
6.1806 5.9660 2.4188 Ga
0.4199 4.6402 1.8266 Pd
3.5318 1.5467 4.6348 Pd
4.3716 4.6402 0.9816 Pd
7.4835 1.5467 3.7897 Pd
```

Output
Formation energy from the elements = -0.53 eV/atom
N(E_F) = 0.35 states/eV/atom
Total magnetic moment = 0.00 μB per formula unit


(11)
A plane-wave DFT calculation with GGA-PBE was carried out for an optimized crystal structure of Tb2Nd2DyHo.

The structure in POSCAR format:
```
Tb2Nd2DyHo
1.0
7.0317 0.0000 0.0000
0.0000 5.6651 0.0000
0.0000 0.0000 9.8203
Tb Nd Dy Ho
4 4 2 2
Cartesian
1.7579 0.0000 1.6049 Tb
1.7579 2.8325 6.5590 Tb
5.2738 0.0000 8.2154 Tb
5.2738 2.8325 3.2613 Tb
0.0000 2.8325 0.0000 Nd
1.7579 0.0000 8.0879 Nd
3.5158 2.8325 0.0000 Nd
5.2738 0.0000 1.7324 Nd
1.7579 2.8325 3.3419 Dy
5.2738 2.8325 6.4784 Dy
0.0000 0.0000 4.9102 Ho
3.5158 0.0000 4.9102 Ho
```

Output
Formation energy from the elements = 0.06 eV/atom
N(E_F) = 1.53 states/eV/atom
Total magnetic moment = 0.00 μB per formula unit


(12)
A plane-wave DFT calculation with GGA-PBE was carried out for an optimized crystal structure of RuRhN2.

The structure in POSCAR format:
```
RuRhN2
1.0
0.0000 2.7022 2.7022
2.7022 0.0000 2.7022
2.7022 2.7022 0.0000
Ru Rh N
1 1 2
Cartesian
0.0000 0.0000 0.0000 Ru
2.7022 2.7022 2.7022 Rh
1.3511 1.3511 1.3511 N
4.0533 4.0533 4.0533 N
```

Output
N(E_F) = 0.54 states/eV/atom
Total magnetic moment = 0.00 μB per formula unit
Energy relative to the elements, uncorrected = 1220 meV/atom


(13)
A plane-wave DFT calculation with GGA-PBE was carried out for an optimized crystal structure of BaLaAu3.

The structure in POSCAR format:
```
BaLaAu3
1.0
5.7469 0.0000 0.0000
0.0000 5.7469 0.0000
0.0000 0.0000 5.7469
Ba La Au
1 1 3
Cartesian
0.0000 0.0000 0.0000 Ba
2.8735 2.8735 2.8735 La
0.0000 0.0000 2.8735 Au
0.0000 2.8735 0.0000 Au
2.8735 0.0000 0.0000 Au
```

Output
Formation energy from the elements = 0.19 eV/atom
N(E_F) = 1.26 states/eV/atom
Total magnetic moment = 0.00 μB per formula unit


(14)
A plane-wave DFT calculation with GGA-PBE was carried out for an optimized crystal structure of Sr4ZrAg.

The structure in POSCAR format:
```
Sr4ZrAg
1.0
0.0000 4.9903 4.9903
4.9903 0.0000 4.9903
4.9903 4.9903 0.0000
Sr Zr Ag
4 1 1
Cartesian
1.2413 1.2413 1.2413 Sr
3.7491 3.7491 1.2413 Sr
3.7491 1.2413 3.7491 Sr
1.2413 3.7491 3.7491 Sr
7.4855 7.4855 7.4855 Zr
4.9903 4.9903 4.9903 Ag
```

Output
Formation energy from the elements = 0.81 eV/atom
N(E_F) = 1.84 states/eV/atom
Total magnetic moment = 4.27 μB per formula unit


(15)
A plane-wave DFT calculation with GGA-PBE was carried out for an optimized crystal structure of DyTmGa2Pd5.

The structure in POSCAR format:
```
DyTmGa2Pd5
1.0
4.1813 0.0000 0.0000
0.0000 4.1813 0.0000
0.0000 0.0000 9.2511
Dy Tm Ga Pd
1 1 2 5
Cartesian
0.0000 0.0000 0.0000 Dy
0.0000 0.0000 4.6256 Tm
2.0907 2.0907 3.3995 Ga
2.0907 2.0907 5.8516 Ga
0.0000 2.0907 2.0637 Pd
0.0000 2.0907 7.1874 Pd
2.0907 0.0000 2.0637 Pd
2.0907 0.0000 7.1874 Pd
2.0907 2.0907 0.0000 Pd
```

Output
Formation energy from the elements = -0.82 eV/atom
N(E_F) = 0.50 states/eV/atom
Total magnetic moment = 0.00 μB per formula unit


(16)
A plane-wave DFT calculation with GGA-PBE was carried out for an optimized crystal structure of PrEr2Si6.

The structure in POSCAR format:
```
PrEr2Si6
1.0
7.1290 0.0000 0.0000
-3.5645 6.1739 0.0000
0.0000 0.0000 3.9827
Pr Er Si
1 2 6
Cartesian
0.0000 0.0000 0.0000 Pr
0.0000 4.1159 0.0000 Er
3.5645 2.0580 0.0000 Er
-1.2015 2.0811 1.9913 Si
-2.3630 4.0928 1.9913 Si
2.4030 0.0000 1.9913 Si
1.2015 2.0811 1.9913 Si
4.7260 0.0000 1.9913 Si
2.3630 4.0928 1.9913 Si
```

Output
N(E_F) = 0.50 states/eV/atom
Total magnetic moment = 0.00 μB per formula unit
Energy relative to the elements, uncorrected = -513 meV/atom


(17)
A plane-wave DFT calculation with GGA-PBE was carried out for an optimized crystal structure of Np2PaOsC4.

The structure in POSCAR format:
```
Np2PaOsC4
1.0
1.7115 -5.8424 0.0000
1.7115 5.8424 0.0000
0.0000 0.0000 11.6320
Np Pa Os C
4 2 2 8
Cartesian
1.7115 4.2944 6.3677 Np
1.7115 4.2944 11.0803 Np
1.7115 -4.2944 0.5517 Np
1.7115 -4.2944 5.2643 Np
1.7115 1.2795 8.7240 Pa
1.7115 -1.2795 2.9080 Pa
1.7115 1.7357 2.9080 Os
1.7115 -1.7357 8.7240 Os
1.7115 5.3209 8.7240 C
1.7115 3.1909 1.4866 C
1.7115 3.1909 4.3294 C
1.7115 0.0000 0.0000 C
1.7115 0.0000 5.8160 C
1.7115 -3.1909 7.3025 C
1.7115 -3.1909 10.1454 C
1.7115 -5.3209 2.9080 C
```

Output
Formation energy from the elements = 0.06 eV/atom
N(E_F) = 1.28 states/eV/atom
Total magnetic moment = 4.54 μB per formula unit


(18)
A plane-wave DFT calculation with GGA-PBE was carried out for an optimized crystal structure of TcBr5.

The structure in POSCAR format:
```
TcBr5
1.0
7.3689 0.0000 0.0000
0.0000 1.8211 6.9586
0.0000 -1.8211 6.9586
Tc Br
1 5
Cartesian
0.0000 0.0000 0.0000 Tc
0.0000 0.0000 5.1840 Br
0.0000 0.0000 8.7336 Br
3.6844 0.0000 2.3795 Br
3.6844 0.0000 6.9980 Br
3.6844 0.0000 11.6176 Br
```

Output
N(E_F) = 0.63 states/eV/atom
Total magnetic moment = 3.40 μB per formula unit
Energy relative to the elements, uncorrected = 191 meV/atom


(19)
A plane-wave DFT calculation with GGA-PBE was carried out for an optimized crystal structure of CsCrRh2.

The structure in POSCAR format:
```
CsCrRh2
1.0
0.0000 3.3714 3.3714
3.3714 0.0000 3.3714
3.3714 3.3714 0.0000
Cs Cr Rh
1 1 2
Cartesian
0.0000 0.0000 0.0000 Cs
3.3714 3.3714 3.3714 Cr
1.6857 1.6857 1.6857 Rh
5.0571 5.0571 5.0571 Rh
```

Output
Formation energy from the elements = 1.17 eV/atom
N(E_F) = 1.19 states/eV/atom
Total magnetic moment = 3.39 μB per formula unit


(20)
A plane-wave DFT calculation with GGA-PBE was carried out for an optimized crystal structure of SiNiAu2.

The structure in POSCAR format:
```
SiNiAu2
1.0
2.7208 -3.3986 0.0000
2.7208 3.3986 0.0000
0.0000 0.0000 3.3414
Si Ni Au
1 1 2
Cartesian
0.0000 0.0000 0.0000 Si
2.7208 0.0000 0.0000 Ni
1.3604 1.6993 1.6707 Au
1.3604 -1.6993 1.6707 Au
```

Output
N(E_F) = 0.61 states/eV/atom
Total magnetic moment = 0.00 μB per formula unit
Energy relative to the elements, uncorrected = 127 meV/atom


(21)
A plane-wave DFT calculation with GGA-PBE was carried out for an optimized crystal structure of Nd6Sm5Pb.

The structure in POSCAR format:
```
Nd6Sm5Pb
1.0
-2.5206 5.1381 7.7581
2.5206 -5.1381 7.7581
2.5206 5.1381 -7.7581
Nd Sm Pb
6 5 1
Cartesian
2.5206 2.5180 -2.5537 Nd
0.0000 2.5030 0.0000 Nd
2.5206 2.5180 2.5537 Nd
0.0000 2.6202 5.2044 Nd
0.0000 7.7733 0.0000 Nd
0.0000 2.6202 10.3117 Nd
0.0000 0.0000 2.6046 Sm
2.5206 0.0000 5.2275 Sm
0.0000 0.0000 7.7581 Sm
0.0000 5.1381 2.5306 Sm
0.0000 0.0000 12.9116 Sm
2.5206 0.0000 0.0000 Pb
```

Output
Formation energy from the elements = -0.07 eV/atom
N(E_F) = 1.27 states/eV/atom
Total magnetic moment = 0.00 μB per formula unit


(22)
A plane-wave DFT calculation with GGA-PBE was carried out for an optimized crystal structure of La7PmTm2.

The structure in POSCAR format:
```
La7PmTm2
1.0
4.5560 -8.0460 0.0000
4.5560 8.0460 0.0000
0.0000 0.0000 5.8619
La Pm Tm
7 1 2
Cartesian
0.0000 0.0000 0.0000 La
2.8919 1.8758 0.0000 La
4.5560 3.8341 2.9309 La
2.8919 -1.8758 0.0000 La
6.2200 1.8758 0.0000 La
4.5560 -3.8341 2.9309 La
6.2200 -1.8758 0.0000 La
4.5560 0.0000 2.9309 Pm
4.5560 4.7625 0.0000 Tm
4.5560 -4.7625 0.0000 Tm
```

Output
Formation energy from the elements = 0.60 eV/atom
N(E_F) = 1.70 states/eV/atom
Total magnetic moment = 0.00 μB per formula unit